[1]
NiSn3N | PBE-GGA | relaxed

Distance to the lowest polymorph of the same formula ... 242 meV per atom
M_tot ... 0.000 μB per atom
DFT total energy ... -4.293 eV/atom
N(E_F) ... 0.52 states/eV per atom

Cell and atoms, written as POSCAR:
```
NiSn3N
1.0
4.8269 0.0000 0.0000
0.0000 4.8269 0.0000
0.0000 0.0000 4.8269
N Sn Ni
1 3 1
direct
0.5000 0.5000 0.5000
0.0000 0.0000 0.5000
0.0000 0.5000 0.0000
0.5000 0.0000 0.0000
0.0000 0.0000 0.0000
```

=====

[2]
NiSnN2 | PBE-GGA | relaxed

M_tot ... 0.000 μB per atom
DFT total energy ... -6.081 eV/atom
N(E_F) ... 0.83 states/eV per atom

Cell and atoms, written as POSCAR:
```
NiSnN2
1.0
1.8854 0.0000 5.8490
-0.9427 1.6328 5.8490
-0.9427 -1.6328 5.8490
Sn N Ni
1 2 1
direct
0.5000 0.5000 0.5000
0.1014 0.1014 0.1014
0.8986 0.8986 0.8986
0.0000 0.0000 0.0000
```

=====

[3]
Ni3SnN | PBE-GGA | relaxed

Distance to the lowest polymorph of the same formula ... 2174 meV per atom
M_tot ... 0.462 μB per atom
DFT total energy ... -3.823 eV/atom
N(E_F) ... 1.68 states/eV per atom

Cell and atoms, written as POSCAR:
```
Ni3SnN
1.0
-2.8116 -3.6823 -0.8160
3.6099 -2.3326 -1.9125
1.0924 -1.7692 4.2198
N Ni Sn
1 3 1
direct
0.5000 0.5000 0.5000
0.0000 0.5000 0.0000
0.0000 0.0000 0.5000
0.5000 0.0000 0.0000
0.0000 0.0000 0.0000
```

=====

[4]
Ni3SnN | PBE-GGA | relaxed

Distance to the lowest polymorph of the same formula ... 65 meV per atom
M_tot ... 0.000 μB per atom
DFT total energy ... -5.932 eV/atom
N(E_F) ... 1.44 states/eV per atom

Cell and atoms, written as POSCAR:
```
Ni3SnN
1.0
-1.6174 -3.4703 0.7432
2.6623 -1.7265 -2.2676
2.3467 -0.4331 3.0849
Ni Sn N
3 1 1
direct
0.0000 0.5000 0.0000
0.5000 0.0000 0.0000
0.0000 0.0000 0.5000
0.5000 0.5000 0.5000
0.0000 0.0000 0.0000
```

=====

[5]
Ni3SnN | PBE-GGA | relaxed

Distance to the lowest polymorph of the same formula ... 243 meV per atom
M_tot ... 0.000 μB per atom
DFT total energy ... -5.755 eV/atom
N(E_F) ... 0.51 states/eV per atom

Cell and atoms, written as POSCAR:
```
Ni3SnN
1.0
4.5735 0.0001 -0.0001
-0.0002 5.4870 0.0000
0.0003 -2.7437 4.7518
Sn Ni N
2 6 2
direct
0.2500 0.3333 0.6667
0.7500 0.6667 0.3333
0.2500 0.8292 0.1708
0.7500 0.1708 0.3416
0.7500 0.6584 0.8292
0.2500 0.3416 0.1708
0.7500 0.1708 0.8292
0.2500 0.8292 0.6584
0.5000 0.0000 0.0000
0.0000 0.0000 0.0000
```

=====

[6]
Ni3SnN | PBE-GGA | relaxed

Distance to the lowest polymorph of the same formula ... 0 meV per atom
M_tot ... 0.000 μB per atom
DFT total energy ... -5.998 eV/atom
N(E_F) ... 0.46 states/eV per atom

Cell and atoms, written as POSCAR:
```
Ni3SnN
1.0
-5.6749 -3.9674 -1.9031
0.0456 -7.0950 1.1068
-4.2257 -2.8742 5.0447
Ni N Sn
12 4 4
direct
0.3147 0.6852 0.3147
0.9352 0.5648 0.5648
0.5648 0.9352 0.9352
0.6852 0.6852 0.3147
0.3147 0.3147 0.6852
0.5648 0.5648 0.9352
0.3147 0.6852 0.6852
0.6852 0.3147 0.3147
0.9352 0.9352 0.5648
0.9352 0.5648 0.9352
0.6852 0.3147 0.6852
0.5648 0.9352 0.5648
0.1250 0.6250 0.6250
0.6250 0.1250 0.6250
0.6250 0.6250 0.6250
0.6250 0.6250 0.1250
0.1250 0.6250 0.1250
0.6250 0.1250 0.1250
0.1250 0.1250 0.1250
0.1250 0.1250 0.6250
```